[1]
Pr12Zn6Rh | PBE-GGA | optimized geometry

CIF file:
```
data_Pr12Zn6Rh
_chemical_formula_sum 'Pr36 Zn18 Rh3'
_symmetry_space_group_name_H-M 'R -3'
_symmetry_Int_Tables_number 148
_symmetry_space_group_name_Hall '-R 3'
_cell_length_a 12.1320
_cell_length_b 12.1320
_cell_length_c 13.4518
_cell_angle_alpha 90.00
_cell_angle_beta 90.00
_cell_angle_gamma 120.00
loop_
_atom_site_label
_atom_site_fract_x
_atom_site_fract_y
_atom_site_fract_z
Pr1 0.0391 0.1992 0.3750
Pr2 0.0396 0.8454 0.8892
Zn1 0.0035 0.5993 0.7561
Rh1 0.0000 0.0000 0.5000
```

Computed properties:
spin magnetization = 0.00 μB per formula unit
total DFT energy (no corrections) = -3.94 eV per atom
E_form = -0.129 eV/atom
N(E_F) = 84.1 states/eV/cell

[2]
Pr3Zn2Rh7 | PBE-GGA | optimized geometry

CIF file:
```
data_Pr3Zn2Rh7
_chemical_formula_sum 'Pr9 Zn6 Rh21'
_symmetry_space_group_name_H-M 'R -3 m'
_symmetry_Int_Tables_number 166
_symmetry_space_group_name_Hall '-R 3 2"'
_cell_length_a 5.4759
_cell_length_b 5.4759
_cell_length_c 25.2498
_cell_angle_alpha 90.00
_cell_angle_beta 90.00
_cell_angle_gamma 120.00
loop_
_atom_site_label
_atom_site_fract_x
_atom_site_fract_y
_atom_site_fract_z
Pr1 0.0000 0.0000 0.0000
Pr2 0.0000 0.0000 0.1402
Zn1 0.0000 0.0000 0.3342
Rh1 0.0000 0.0000 0.5000
Rh2 0.0027 0.5013 0.9182
```

Computed properties:
spin magnetization = 0.00 μB per formula unit
total DFT energy (no corrections) = -6.29 eV per atom
E_form = -0.589 eV/atom
N(E_F) = 22.6 states/eV/cell